No. 1
PaBeAl: optimized geometry, GGA-PBE.

The structure in CIF format:
```
data_PaBeAl
_chemical_formula_sum 'Pa1 Be1 Al1'
_space_group_name_H-M_alt 'P 1'
_space_group_IT_number 1
_cell_length_a 4.469
_cell_length_b 4.469
_cell_length_c 4.469
_cell_angle_alpha 60.00
_cell_angle_beta 60.00
_cell_angle_gamma 60.00
loop_
_space_group_symop_operation_xyz
'x,y,z'
loop_
_atom_site_label
_atom_site_type_symbol
_atom_site_fract_x
_atom_site_fract_y
_atom_site_fract_z
Al1 Al 0.000 0.000 0.000
Pa1 Pa 0.750 0.750 0.750
Be1 Be 0.250 0.250 0.250
```

---

No. 2
PaBeAl: optimized geometry, GGA-PBE.

The structure in CIF format:
```
data_PaBeAl
_chemical_formula_sum 'Pa1 Be1 Al1'
_space_group_name_H-M_alt 'P 1'
_space_group_IT_number 1
_cell_length_a 4.658
_cell_length_b 4.658
_cell_length_c 4.658
_cell_angle_alpha 60.00
_cell_angle_beta 60.00
_cell_angle_gamma 60.00
loop_
_space_group_symop_operation_xyz
'x,y,z'
loop_
_atom_site_label
_atom_site_type_symbol
_atom_site_fract_x
_atom_site_fract_y
_atom_site_fract_z
Be1 Be 0.750 0.750 0.750
Pa1 Pa 0.000 0.000 0.000
Al1 Al 0.250 0.250 0.250
```

---

No. 3
Be4AlPd: optimized geometry, GGA-PBE.

The structure in CIF format:
```
data_Be4AlPd
_chemical_formula_sum 'Be4 Al1 Pd1'
_space_group_name_H-M_alt 'P 1'
_space_group_IT_number 1
_cell_length_a 4.385
_cell_length_b 4.385
_cell_length_c 4.385
_cell_angle_alpha 60.00
_cell_angle_beta 60.00
_cell_angle_gamma 60.00
loop_
_space_group_symop_operation_xyz
'x,y,z'
loop_
_atom_site_label
_atom_site_type_symbol
_atom_site_fract_x
_atom_site_fract_y
_atom_site_fract_z
Be1 Be 0.876 0.373 0.876
Be2 Be 0.876 0.876 0.876
Be3 Be 0.876 0.876 0.373
Be4 Be 0.373 0.876 0.876
Pd1 Pd 0.250 0.250 0.250
Al1 Al 0.500 0.500 0.500
```

---

No. 4
BeAlPd2: optimized geometry, GGA-PBE.

The structure in CIF format:
```
data_BeAlPd2
_chemical_formula_sum 'Be1 Al1 Pd2'
_space_group_name_H-M_alt 'P 1'
_space_group_IT_number 1
_cell_length_a 4.249
_cell_length_b 4.249
_cell_length_c 4.249
_cell_angle_alpha 60.00
_cell_angle_beta 60.00
_cell_angle_gamma 60.00
loop_
_space_group_symop_operation_xyz
'x,y,z'
loop_
_atom_site_label
_atom_site_type_symbol
_atom_site_fract_x
_atom_site_fract_y
_atom_site_fract_z
Pd1 Pd 0.750 0.750 0.750
Pd2 Pd 0.000 0.000 0.000
Al1 Al 0.500 0.500 0.500
Be1 Be 0.250 0.250 0.250
```

---

No. 5
BeAlTlPd: optimized geometry, GGA-PBE.

The structure in CIF format:
```
data_BeAlTlPd
_chemical_formula_sum 'Be1 Al1 Tl1 Pd1'
_space_group_name_H-M_alt 'P 1'
_space_group_IT_number 1
_cell_length_a 4.552
_cell_length_b 4.552
_cell_length_c 4.552
_cell_angle_alpha 60.00
_cell_angle_beta 60.00
_cell_angle_gamma 60.00
loop_
_space_group_symop_operation_xyz
'x,y,z'
loop_
_atom_site_label
_atom_site_type_symbol
_atom_site_fract_x
_atom_site_fract_y
_atom_site_fract_z
Pd1 Pd 0.250 0.250 0.250
Al1 Al 0.000 0.000 0.000
Be1 Be 0.750 0.750 0.750
Tl1 Tl 0.500 0.500 0.500
```

---

No. 6
BeAlTlPd: optimized geometry, GGA-PBE.

The structure in CIF format:
```
data_BeAlTlPd
_chemical_formula_sum 'Be1 Al1 Tl1 Pd1'
_space_group_name_H-M_alt 'P 1'
_space_group_IT_number 1
_cell_length_a 4.512
_cell_length_b 4.512
_cell_length_c 4.512
_cell_angle_alpha 60.00
_cell_angle_beta 60.00
_cell_angle_gamma 60.00
loop_
_space_group_symop_operation_xyz
'x,y,z'
loop_
_atom_site_label
_atom_site_type_symbol
_atom_site_fract_x
_atom_site_fract_y
_atom_site_fract_z
Al1 Al 0.250 0.250 0.250
Tl1 Tl 0.500 0.500 0.500
Pd1 Pd 0.000 0.000 0.000
Be1 Be 0.750 0.750 0.750
```

---

No. 7
YBeAlPd: optimized geometry, GGA-PBE.

The structure in CIF format:
```
data_YBeAlPd
_chemical_formula_sum 'Y1 Be1 Al1 Pd1'
_space_group_name_H-M_alt 'P 1'
_space_group_IT_number 1
_cell_length_a 4.576
_cell_length_b 4.576
_cell_length_c 4.576
_cell_angle_alpha 60.00
_cell_angle_beta 60.00
_cell_angle_gamma 60.00
loop_
_space_group_symop_operation_xyz
'x,y,z'
loop_
_atom_site_label
_atom_site_type_symbol
_atom_site_fract_x
_atom_site_fract_y
_atom_site_fract_z
Al1 Al 0.500 0.500 0.500
Be1 Be 0.750 0.750 0.750
Y1 Y 0.000 0.000 0.000
Pd1 Pd 0.250 0.250 0.250
```

---

No. 8
YBeAlPd: optimized geometry, GGA-PBE.

The structure in CIF format:
```
data_YBeAlPd
_chemical_formula_sum 'Y1 Be1 Al1 Pd1'
_space_group_name_H-M_alt 'P 1'
_space_group_IT_number 1
_cell_length_a 4.600
_cell_length_b 4.600
_cell_length_c 4.600
_cell_angle_alpha 60.00
_cell_angle_beta 60.00
_cell_angle_gamma 60.00
loop_
_space_group_symop_operation_xyz
'x,y,z'
loop_
_atom_site_label
_atom_site_type_symbol
_atom_site_fract_x
_atom_site_fract_y
_atom_site_fract_z
Be1 Be 0.750 0.750 0.750
Pd1 Pd 0.500 0.500 0.500
Al1 Al 0.000 0.000 0.000
Y1 Y 0.250 0.250 0.250
```

---

No. 9
YBeAlPd: optimized geometry, GGA-PBE.

The structure in CIF format:
```
data_YBeAlPd
_chemical_formula_sum 'Y1 Be1 Al1 Pd1'
_space_group_name_H-M_alt 'P 1'
_space_group_IT_number 1
_cell_length_a 4.534
_cell_length_b 4.534
_cell_length_c 4.534
_cell_angle_alpha 60.00
_cell_angle_beta 60.00
_cell_angle_gamma 60.00
loop_
_space_group_symop_operation_xyz
'x,y,z'
loop_
_atom_site_label
_atom_site_type_symbol
_atom_site_fract_x
_atom_site_fract_y
_atom_site_fract_z
Pd1 Pd 0.500 0.500 0.500
Al1 Al 0.250 0.250 0.250
Y1 Y 0.000 0.000 0.000
Be1 Be 0.750 0.750 0.750
```

---

No. 10
Be2AlPt: optimized geometry, GGA-PBE.

The structure in CIF format:
```
data_Be2AlPt
_chemical_formula_sum 'Be2 Al1 Pt1'
_space_group_name_H-M_alt 'P 1'
_space_group_IT_number 1
_cell_length_a 4.069
_cell_length_b 4.069
_cell_length_c 4.069
_cell_angle_alpha 60.00
_cell_angle_beta 60.00
_cell_angle_gamma 60.00
loop_
_space_group_symop_operation_xyz
'x,y,z'
loop_
_atom_site_label
_atom_site_type_symbol
_atom_site_fract_x
_atom_site_fract_y
_atom_site_fract_z
Be1 Be 0.750 0.750 0.750
Be2 Be 0.000 0.000 0.000
Al1 Al 0.500 0.500 0.500
Pt1 Pt 0.250 0.250 0.250
```

---

No. 11
BeAlTlPt: optimized geometry, GGA-PBE.

The structure in CIF format:
```
data_BeAlTlPt
_chemical_formula_sum 'Be1 Al1 Tl1 Pt1'
_space_group_name_H-M_alt 'P 1'
_space_group_IT_number 1
_cell_length_a 4.516
_cell_length_b 4.516
_cell_length_c 4.516
_cell_angle_alpha 60.00
_cell_angle_beta 60.00
_cell_angle_gamma 60.00
loop_
_space_group_symop_operation_xyz
'x,y,z'
loop_
_atom_site_label
_atom_site_type_symbol
_atom_site_fract_x
_atom_site_fract_y
_atom_site_fract_z
Be1 Be 0.750 0.750 0.750
Pt1 Pt 0.500 0.500 0.500
Al1 Al 0.250 0.250 0.250
Tl1 Tl 0.000 0.000 0.000
```

---

No. 12
BeAlTlPt: optimized geometry, GGA-PBE.

The structure in CIF format:
```
data_BeAlTlPt
_chemical_formula_sum 'Be1 Al1 Tl1 Pt1'
_space_group_name_H-M_alt 'P 1'
_space_group_IT_number 1
_cell_length_a 4.560
_cell_length_b 4.560
_cell_length_c 4.560
_cell_angle_alpha 60.00
_cell_angle_beta 60.00
_cell_angle_gamma 60.00
loop_
_space_group_symop_operation_xyz
'x,y,z'
loop_
_atom_site_label
_atom_site_type_symbol
_atom_site_fract_x
_atom_site_fract_y
_atom_site_fract_z
Tl1 Tl 0.000 0.000 0.000
Pt1 Pt 0.250 0.250 0.250
Al1 Al 0.500 0.500 0.500
Be1 Be 0.750 0.750 0.750
```

---

The records above yield uncorrected energy values of -5.0370, -4.6715, -4.3453, -4.8274, -3.5008, -3.5471, -5.2140, -5.0339, -5.1298, -4.6995, -3.8179, -3.6990 eV per atom, respectively.